[1]
The following is a DFT calculation (PBE) of crystalline NiTeOs2 at its relaxed geometry.

abc: 8.6794 8.6794 8.6794
angles: 19.42 19.42 19.42
Element x y z (fractional)
Os1 0.2554 0.2554 0.2554
Os2 0.0006 0.0006 0.0006
Ni1 0.7487 0.7487 0.7487
Te1 0.4953 0.4953 0.4953

Calculated values
Its uncorrected formation energy is 0.640 eV/atom.


[2]
The following is a DFT calculation (PBE) of crystalline AcPuCd4 at its relaxed geometry.

abc: 6.1070 6.1070 6.1070
angles: 60.00 60.00 60.00
Last column: magnetic moment on the atom in μB.
Element x y z (fractional)
Cd1 0.6247 0.1260 0.6247  -0.01
Cd2 0.6247 0.6247 0.1260  -0.01
Cd3 0.6247 0.6247 0.6247  -0.01
Cd4 0.1260 0.6247 0.6247  -0.01
Ac1 0.0000 0.0000 0.0000  0.03
Pu1 0.2500 0.2500 0.2500  5.54

Calculated values
The electronic total energy comes out at -3.8217 eV per atom.


[3]
The following is a DFT calculation (PBE) of crystalline ScC3 at its relaxed geometry.

abc: 5.3506 5.3506 4.7676
angles: 90.00 90.00 121.73
Element x y z (fractional)
C1 0.6712 0.0476 0.7500
C2 0.9524 0.3288 0.7500
C3 0.9454 0.0546 0.7500
C4 0.0546 0.9454 0.2500
C5 0.0476 0.6712 0.2500
C6 0.3288 0.9524 0.2500
Sc1 0.1859 0.8141 0.7500
Sc2 0.8141 0.1859 0.2500

Calculated values
The electronic total energy comes out at -7.9167 eV per atom.


[4]
The following is a DFT calculation (PBE) of crystalline RbZnTeN2 at its relaxed geometry.

abc: 4.3816 5.2772 4.3816
angles: 90.00 90.00 90.00
Last column: magnetic moment on the atom in μB.
Element x y z (fractional)
Zn1 0.0000 0.5000 0.0000  -0.01
Te1 0.0000 0.0000 0.0000  -0.01
Rb1 0.5000 0.5000 0.5000  -0.01
N1 0.0000 0.0000 0.5000  0.41
N2 0.5000 0.0000 0.0000  0.38

Calculated values
Its uncorrected formation energy is 1.142 eV/atom.


[5]
The following is a DFT calculation (PBE) of crystalline Ce2Rh at its relaxed geometry.

abc: 4.4630 7.8821 7.9716
angles: 90.00 90.00 90.00
Element x y z (fractional)
Rh1 0.7500 0.8046 0.1221
Rh2 0.2500 0.6954 0.6221
Rh3 0.2500 0.1954 0.8779
Rh4 0.7500 0.3046 0.3779
Ce1 0.7500 0.3795 0.0415
Ce2 0.2500 0.6205 0.9585
Ce3 0.2500 0.5504 0.3144
Ce4 0.7500 0.8795 0.4585
Ce5 0.7500 0.4496 0.6856
Ce6 0.2500 0.0504 0.1856
Ce7 0.7500 0.9496 0.8144
Ce8 0.2500 0.1205 0.5415

Calculated values
The electronic total energy comes out at -6.8649 eV per atom.


[6]
The following is a DFT calculation (PBE) of crystalline Ba4WN4Cl2 at its relaxed geometry.

abc: 6.2409 8.5568 10.9735
angles: 81.79 90.00 90.00
Element x y z (fractional)
N1 0.0030 0.2484 0.4993
N2 0.7500 0.9619 0.2933
N3 0.7500 0.6097 0.2965
N4 0.2500 0.0381 0.7067
N5 0.5030 0.7516 0.5007
N6 0.4970 0.2484 0.4993
N7 0.9970 0.7516 0.5007
N8 0.2500 0.3903 0.7035
Ba1 0.7500 0.2847 0.2969
Ba2 0.2500 0.7153 0.7031
Ba3 0.7500 0.4473 0.6236
Ba4 0.2500 0.5527 0.3764
Ba5 0.7500 0.8147 0.0924
Ba6 0.2500 0.1853 0.9076
Ba7 0.7500 0.0059 0.6260
Ba8 0.2500 0.9941 0.3740
W1 0.7500 0.7688 0.3993
W2 0.2500 0.2312 0.6007
Cl1 0.2500 0.8440 0.1000
Cl2 0.7500 0.6818 0.8320
Cl3 0.2500 0.3182 0.1680
Cl4 0.7500 0.1560 0.9000

Calculated values
Its uncorrected formation energy is -1.382 eV/atom.


[7]
The following is a DFT calculation (PBE) of crystalline HoTh2Se4 at its relaxed geometry.

abc: 7.6363 7.6363 7.6363
angles: 110.60 107.24 110.60
Element x y z (fractional)
Se1 0.7827 0.2616 0.8888
Se2 0.1229 0.3939 0.3612
Se3 0.6388 0.7616 0.0327
Se4 0.1112 0.8939 0.3729
Se5 0.4789 0.1061 0.2173
Se6 0.9673 0.6061 0.7289
Se7 0.2711 0.2384 0.8771
Se8 0.6271 0.7384 0.5211
Th1 0.3750 0.8611 0.7361
Th2 0.4861 0.3611 0.6250
Th3 0.8750 0.1389 0.5139
Th4 0.2639 0.6389 0.1250
Ho1 0.7500 0.5000 0.2500
Ho2 0.0000 0.0000 0.0000

Calculated values
Its uncorrected formation energy is -1.621 eV/atom.


[8]
The following is a DFT calculation (PBE) of crystalline Pu3BeC3 at its relaxed geometry.

abc: 4.8022 7.1541 7.1541
angles: 120.00 90.00 90.00
Last column: magnetic moment on the atom in μB.
Element x y z (fractional)
Pu1 0.7500 0.7124 0.6523  4.69
Pu2 0.2500 0.0601 0.7124  4.69
Pu3 0.2500 0.2876 0.3477  4.69
Pu4 0.2500 0.6523 0.9399  4.69
Pu5 0.7500 0.9399 0.2876  4.69
Pu6 0.7500 0.3477 0.0601  4.69
Be1 0.7500 0.3333 0.6667  -0.02
Be2 0.2500 0.6667 0.3333  -0.02
C1 0.2500 0.6670 0.5839  -0.21
C2 0.2500 0.4161 0.0831  -0.21
C3 0.7500 0.3330 0.4161  -0.21
C4 0.7500 0.5839 0.9169  -0.21
C5 0.2500 0.9169 0.3330  -0.21
C6 0.7500 0.0831 0.6670  -0.21

Calculated values
The electronic total energy comes out at -10.6620 eV per atom.


[9]
The following is a DFT calculation (PBE) of crystalline YHoOs4 at its relaxed geometry.

abc: 5.3539 5.3539 5.3539
angles: 60.00 60.00 60.00
Element x y z (fractional)
Os1 0.6251 0.6251 0.1248
Os2 0.6251 0.1248 0.6251
Os3 0.6251 0.6251 0.6251
Os4 0.1248 0.6251 0.6251
Ho1 0.0000 0.0000 0.0000
Y1 0.2500 0.2500 0.2500

Calculated values
The electronic total energy comes out at -9.6035 eV per atom.


[10]
The following is a DFT calculation (PBE) of crystalline Cd2AuS at its relaxed geometry.

abc: 7.0276 7.0276 6.3732
angles: 56.54 56.54 90.00
Element x y z (fractional)
Cd1 0.6027 0.1250 0.2500
Cd2 0.3750 0.3973 0.7500
Cd3 0.8750 0.8527 0.7500
Cd4 0.1473 0.6250 0.2500
S1 0.5000 0.5000 0.0000
S2 0.2500 0.7500 0.5000
Au1 0.0000 0.0000 0.0000
Au2 0.7500 0.2500 0.5000

Calculated values
Its uncorrected formation energy is -0.089 eV/atom.


[11]
The following is a DFT calculation (PBE) of crystalline KLiCo2 at its relaxed geometry.

abc: 2.8382 3.5089 8.2597
angles: 90.00 90.00 90.00
Last column: magnetic moment on the atom in μB.
Element x y z (fractional)
Li1 0.5000 0.5000 0.8488  -0.03
Co1 0.0000 0.0000 0.0596  1.71
Co2 0.5000 0.5000 0.1410  1.65
K1 0.0000 0.0000 0.4507  -0.02

Calculated values
The electronic total energy comes out at -3.8225 eV per atom.


[12]
The following is a DFT calculation (PBE) of crystalline LiMnSi at its relaxed geometry.

abc: 4.9500 4.2216 7.3522
angles: 90.00 90.00 90.00
Last column: magnetic moment on the atom in μB.
Element x y z (fractional)
Mn1 0.2500 0.0000 0.3321  2.68
Mn2 0.7500 0.5000 0.1679  2.68
Mn3 0.7500 0.0000 0.6679  2.68
Mn4 0.2500 0.5000 0.8321  2.68
Li1 0.0000 0.0000 0.0000  0.00
Li2 0.0000 0.5000 0.5000  0.00
Li3 0.5000 0.5000 0.5000  0.00
Li4 0.5000 0.0000 0.0000  0.00
Si1 0.7500 0.5000 0.8346  -0.11
Si2 0.7500 0.0000 0.3346  -0.11
Si3 0.2500 0.5000 0.1654  -0.11
Si4 0.2500 0.0000 0.6654  -0.11

Calculated values
Its uncorrected formation energy is -0.183 eV/atom.


Number 1: volume 15.795 A^3/atom, size of the total moment 0.000 μB per atom. Number 2: volume 26.842 A^3/atom, size of the total moment 0.964 μB per atom. Number 3: volume 14.512 A^3/atom, size of the total moment 0.000 μB per atom. Number 4: volume 20.263 A^3/atom, size of the total moment 0.215 μB per atom. Number 5: volume 23.369 A^3/atom, size of the total moment 0.001 μB per atom. Number 6: volume 26.364 A^3/atom, size of the total moment 0.000 μB per atom. Number 7: volume 24.457 A^3/atom, size of the total moment 0.000 μB per atom. Number 8: volume 15.204 A^3/atom, size of the total moment 2.004 μB per atom. Number 9: volume 18.086 A^3/atom, size of the total moment 0.000 μB per atom. Number 10: volume 24.635 A^3/atom, size of the total moment 0.000 μB per atom. Number 11: volume 20.564 A^3/atom, size of the total moment 0.784 μB per atom. Number 12: volume 12.803 A^3/atom, size of the total moment 0.884 μB per atom.